(1)
# LaScGe2Au2 PBE relaxed
data_LaScGe2Au2
_cell_length_a 4.4569
_cell_length_b 4.4569
_cell_length_c 7.4669
_cell_angle_alpha 90.00
_cell_angle_beta 90.00
_cell_angle_gamma 120.00
_symmetry_space_group_name_H-M 'P 3 m 1'
_symmetry_Int_Tables_number 156
loop_
_symmetry_equiv_pos_as_xyz
'x,y,z'
'-y,x-y,z'
'-x+y,-x,z'
'-y,-x,z'
'-x+y,y,z'
'x,x-y,z'
loop_
_atom_site_label
_atom_site_type_symbol
_atom_site_fract_x
_atom_site_fract_y
_atom_site_fract_z
_atom_site_occupancy
La1 La 0.0000 0.0000 0.0000 1
Sc1 Sc 0.0000 0.0000 0.4924 1
Ge1 Ge 0.3333 0.6667 0.2280 1
Ge2 Ge 0.6667 0.3333 0.6917 1
Au1 Au 0.3333 0.6667 0.7292 1
Au2 Au 0.6667 0.3333 0.3182 1
# Calculated total energy, eV per cell: -31.9
# Total magnetization, Bohr magnetons per cell: 0.01


(2)
# MgFeCuSb PBE relaxed
data_MgFeCuSb
_cell_length_a 6.313
_cell_length_b 6.313
_cell_length_c 6.313
_cell_angle_alpha 90.00
_cell_angle_beta 90.00
_cell_angle_gamma 90.00
_symmetry_space_group_name_H-M 'F -4 3 m'
_symmetry_Int_Tables_number 216
_symmetry_space_group_name_Hall 'F -4 2 3'
loop_
_atom_site_label
_atom_site_type_symbol
_atom_site_fract_x
_atom_site_fract_y
_atom_site_fract_z
_atom_site_occupancy
Mg1 Mg 0.000 0.000 0.000 1
Fe1 Fe 0.250 0.250 0.750 1
Cu1 Cu 0.250 0.250 0.250 1
Sb1 Sb 0.000 0.000 0.500 1
# Calculated total energy, eV per cell: -68.4
# Offset from the most stable computed form, eV per atom: 0.0000
# Total magnetization, Bohr magnetons per cell: 7.08